1.
Density functional theory data (GGA-PBE) for a relaxed Sm7Ir2S2 crystal.

Summary:
Calculated total energy: -6.37 eV per atom
Space-group type: No. 44

a = 9.205 Å, b = 9.205 Å, c = 9.205 Å
α = 155.23°, β = 66.50°, γ = 119.39°
Positions (direct):
Ir  0.648  0.407  0.241
Ir  0.167  0.407  0.759
S  0.148  0.148  0.000
S  0.736  0.236  0.500
Sm  0.483  0.483  0.000
Sm  0.014  0.895  0.119
Sm  0.426  0.104  0.321
Sm  0.095  0.733  0.362
Sm  0.370  0.733  0.638
Sm  0.783  0.104  0.679
Sm  0.776  0.895  0.881

2.
Density functional theory data (GGA-PBE) for a relaxed Lu2PO2 crystal.

Summary:
Calculated total energy: -7.18 eV per atom
Space-group type: No. 139

a = 8.302 Å, b = 8.302 Å, c = 8.302 Å
α = 148.37°, β = 148.37°, γ = 45.34°
Positions (direct):
Lu  0.211  0.211  0.000
Lu  0.789  0.789  0.000
Lu  0.500  0.000  0.500
Lu  0.000  0.500  0.500
O  0.078  0.078  0.000
O  0.922  0.922  0.000
O  0.750  0.250  0.500
O  0.250  0.750  0.500
P  0.416  0.416  0.000
P  0.584  0.584  0.000

3.
Density functional theory data (GGA-PBE) for a relaxed USiNi crystal.

Summary:
Calculated total energy: -7.94 eV per atom
Space-group type: No. 62

a = 3.781 Å, b = 7.292 Å, c = 6.831 Å
α = 90.00°, β = 90.00°, γ = 90.00°
Each line ends with the local moment (μB).
Positions (direct):
Ni  0.750  0.376  0.059  0.01
Ni  0.750  0.876  0.441  0.01
Ni  0.250  0.124  0.559  0.01
Ni  0.250  0.624  0.941  0.01
Si  0.750  0.697  0.130  0.00
Si  0.750  0.197  0.370  0.00
Si  0.250  0.803  0.630  0.00
Si  0.250  0.303  0.870  0.00
U  0.250  0.998  0.132  0.70
U  0.250  0.498  0.368  0.73
U  0.750  0.502  0.632  0.73
U  0.750  0.002  0.868  0.70

Q: Among the records above, which one has the lowest calculated total energy?
A: USiNi

Q: What is the calculated total energy in the second record?
A: -7.18 eV per atom